[1]
The following is a DFT calculation (PBEsol) of a relaxed YTe2AuI crystal.

The structure in POSCAR format:
```
YTe2AuI
1.0
-2.845 4.685 1.529
-4.897 -3.065 0.282
1.056 -1.175 5.564
I Y Te Au
1 1 2 1
direct
0.500 0.000 0.000
0.000 0.000 0.000
0.000 0.000 0.500
0.000 0.500 0.000
0.500 0.500 0.500
```

**Energy relative to the elements, uncorrected**: 119 meV per atom

---

[2]
The following is a DFT calculation (PBEsol) of a relaxed NaGaSbI2 crystal.

The structure in POSCAR format:
```
NaGaSbI2
1.0
5.747 0.000 0.000
0.000 5.794 0.000
0.000 0.000 5.794
I Sb Ga Na
2 1 1 1
direct
0.000 0.000 0.500
0.000 0.500 0.000
0.500 0.000 0.000
0.500 0.500 0.500
0.000 0.000 0.000
```

**Energy relative to the elements, uncorrected**: 260 meV per atom

---

[3]
The following is a DFT calculation (PBEsol) of a relaxed SbAs2Pb crystal.

The structure in POSCAR format:
```
SbAs2Pb
1.0
4.145 0.000 0.000
2.073 3.590 0.000
2.073 1.197 6.664
Pb Sb As
1 1 2
direct
0.000 0.000 0.000
0.500 0.500 0.500
0.755 0.755 0.736
0.245 0.245 0.264
```

**Distance to the lowest polymorph of the same formula**: 0.000 eV/atom
**Energy relative to the elements, uncorrected**: 33 meV per atom

---

[4]
The following is a DFT calculation (PBEsol) of a relaxed BeNbInGa2 crystal.

The structure in POSCAR format:
```
BeNbInGa2
1.0
4.845 0.000 0.000
0.000 4.845 0.000
0.000 0.000 5.309
Be Nb Ga In
1 1 2 1
direct
0.500 0.500 0.500
0.000 0.000 0.500
0.000 0.500 0.000
0.500 0.000 0.000
0.000 0.000 0.000
```

**Formation energy from the elements**: 1623.0 meV/atom

---

[5]
The following is a DFT calculation (PBEsol) of a relaxed SrCO2F crystal.

The structure in POSCAR format:
```
SrCO2F
1.0
-1.539 -2.047 -2.391
-1.130 -2.125 2.546
-3.440 2.213 0.319
Sr C O F
1 1 2 1
direct
0.500 0.500 0.500
0.000 0.000 0.000
0.000 0.500 0.000
0.500 0.000 0.000
0.000 0.000 0.500
```

**Energy relative to the elements, uncorrected**: -968 meV per atom

---

[6]
The following is a DFT calculation (PBEsol) of a relaxed MgSe2N2 crystal.

The structure in POSCAR format:
```
MgSe2N2
1.0
-3.849 0.085 -0.928
-0.242 -4.139 0.623
-0.956 0.663 4.028
Mg Se N
1 2 2
direct
0.500 0.500 0.500
0.000 0.000 0.500
0.000 0.500 0.000
0.000 0.000 0.000
0.500 0.000 0.000
```

**Distance to the lowest polymorph of the same formula**: 0.131 eV/atom
**Energy relative to the elements, uncorrected**: 1047 meV per atom

---

[7]
The following is a DFT calculation (PBEsol) of a relaxed SrBeCo crystal.

The structure in POSCAR format:
```
SrBeCo
1.0
4.695 0.000 0.000
2.347 4.066 0.000
2.347 1.355 3.833
Sr Co Be
1 1 1
direct
0.750 0.750 0.750
0.500 0.500 0.500
0.000 0.000 0.000
```

**Formation energy from the elements**: 1655.0 meV/atom
**Distance to the lowest polymorph of the same formula**: 0.698 eV/atom

---

In the order shown, the computed density values come out to 5.826, 4.030, 8.018, 4.745, 4.966, 5.016, 3.531 g cm⁻³.